3
Lattice="-2.446 -0.836 3.530 1.909 -1.200 3.750 0.058 2.749 3.403" Properties=species:S:1:pos:R:3 comment="CoPPb (GGA-PBEsol, relaxed)" ef_ev_per_atom=0.708 energy_ev_per_atom=-5.134 crystal_system=cubic pbc="T T T"
P -0.120 0.178 2.670
Pb 0.000 0.000 0.000
Co -0.240 0.357 5.341